Entry 1:
The following is a DFT calculation (PBE) of crystalline Tc2PdPt2 at its relaxed geometry.

Crystal system   monoclinic
Calculated formation energy   -11.54 kJ per mole of atoms
Energy above the lowest structure with this stoichiometry   0.0 meV/atom
Spin magnetization   0.0 μB per formula unit

Cell lengths 14.2463, 3.9225, 2.7488 Å; angles 90.00, 100.56, 90.00 degrees
With the nearest neighbours (Å) after each atom.
Space group C2/m (No. 12)
One atom of each set of equivalent atoms:
Tc1 0.2060 0.0000 0.1716 x4  6 Tc 2.60-2.80, 5 Pt 2.66-2.82, 1 Pd 2.89
Pd1 0.0000 0.0000 0.0000 x2  2 Pd 2.75, 8 Pt 2.80, 2 Tc 2.89
Pt1 0.1041 0.5000 0.5989 x4  5 Tc 2.66-2.82, 3 Pt 2.75-2.92, 4 Pd 2.80

=====

Entry 2:
The following is a DFT calculation (PBE) of crystalline PaHPdO4 at its relaxed geometry.

Crystal system   orthorhombic
E   -50.21 eV per formula unit
Spin magnetization   0.0 μB per formula unit

Cell lengths 5.8569, 6.9565, 9.9234 Å; angles 90.00, 90.00, 90.00 degrees
With the nearest neighbours (Å) after each atom.
Space group Imma (No. 74)
One atom of each set of equivalent atoms:
Pa1 0.0000 0.0000 0.0000 x4  6 O 2.08-2.25
H1 0.0000 0.2500 0.2257 x4  2 O 1.24
Pd1 0.2500 0.2500 0.7500 x4  2 O 2.02
O1 0.0000 0.0741 0.2033 x8  1 H 1.24
O2 0.2305 0.2500 0.9536 x8  1 Pd 2.02, 2 Pa 2.25

=====

Entry 3:
The following is a DFT calculation (PBE) of crystalline InMo2Rh at its relaxed geometry.

Crystal system   trigonal
Calculated formation energy   25.98 kJ per mole of atoms
Spin magnetization   0.0 μB per formula unit

Cell lengths 2.8696, 2.8696, 28.0200 Å; angles 90.00, 90.00, 120.00 degrees
With the nearest neighbours (Å) after each atom.
Space group R-3m (No. 166, hexagonal axes)
One atom of each set of equivalent atoms:
In1 0.0000 0.0000 0.0000 x3  6 In 2.87, 6 Mo 2.98
Mo1 0.0000 0.0000 0.2448 x6  3 Rh 2.75, 6 Mo 2.87, 3 In 2.98
Rh1 0.0000 0.0000 0.5000 x3  6 Mo 2.75, 6 Rh 2.87

=====

Entry 4:
The following is a DFT calculation (PBE) of crystalline Mg2BeTl at its relaxed geometry.

Crystal system   monoclinic
Calculated formation energy   28.15 kJ per mole of atoms
Energy above the lowest structure with this stoichiometry   75.8 meV/atom
Spin magnetization   0.0 μB per formula unit

Cell lengths 10.1728, 3.4001, 5.0279 Å; angles 90.00, 111.35, 90.00 degrees
With the nearest neighbours (Å) after each atom.
Space group Cm (No. 8)
One atom of each set of equivalent atoms:
Mg1 0.0000 0.0000 0.0000 x2  3 Be 2.78-3.03, 2 Tl 3.03
Mg2 0.2119 0.0000 0.6772 x2  2 Be 2.78, 1 Tl 2.94
Be1 0.2312 0.5000 0.1283 x2  2 Tl 2.70, 4 Mg 2.78
Tl1 0.4360 0.0000 0.4372 x2  2 Be 2.70, 1 Mg 2.94

=====

Entry 5:
The following is a DFT calculation (PBE) of crystalline CaSc3V at its relaxed geometry.

Crystal system   cubic
Calculated formation energy   34.08 kJ per mole of atoms
Energy above the lowest structure with this stoichiometry   0.0 meV/atom
Spin magnetization   2.0 μB per formula unit

Cell lengths 5.1369, 5.1369, 5.1369 Å; angles 90.00, 90.00, 90.00 degrees
With the nearest neighbours (Å) after each atom.
Space group Pm-3m (No. 221)
One atom of each set of equivalent atoms:
Ca1 0.0000 0.0000 0.0000 x1  12 Sc 3.63
Sc1 0.0000 0.5000 0.5000 x3  2 V 2.57
V1 0.5000 0.5000 0.5000 x1  6 Sc 2.57

=====

Entry 6:
The following is a DFT calculation (PBE) of crystalline CsAg2HgGe at its relaxed geometry.

Crystal system   tetragonal
Calculated formation energy   3.37 kJ per mole of atoms
Spin magnetization   0.0 μB per formula unit

Cell lengths 5.1400, 5.1400, 5.8538 Å; angles 90.00, 90.00, 90.00 degrees
With the nearest neighbours (Å) after each atom.
Space group P4/mmm (No. 123)
One atom of each set of equivalent atoms:
Cs1 0.0000 0.0000 0.0000 x1  4 Hg 3.63, 8 Ag 3.90
Ag1 0.0000 0.5000 0.5000 x2  2 Ge 2.57
Hg1 0.5000 0.5000 0.0000 x1  2 Ge 2.93
Ge1 0.5000 0.5000 0.5000 x1  4 Ag 2.57

=====

Entry 7:
The following is a DFT calculation (PBE) of crystalline Na6PbF12 at its relaxed geometry.

Crystal system   trigonal
Formation energy from raw total energies   -42.7 eV per formula unit
Spin magnetization   2.0 μB per formula unit

Cell lengths 10.1475, 10.1475, 9.5555 Å; angles 90.00, 90.00, 120.00 degrees
With the nearest neighbours (Å) after each atom.
Space group R-3 (No. 148, hexagonal axes)
One atom of each set of equivalent atoms:
Na1 0.0539 0.7977 0.1451 x18  6 F 2.29-2.51
Pb1 0.0000 0.0000 0.5000 x3  6 F 2.10
F1 0.0473 0.8513 0.3859 x18  1 Pb 2.10
F2 0.0526 0.8176 0.8979 x18  4 Na 2.29-2.37, 1 F 2.50

=====

Entry 8:
The following is a DFT calculation (PBE) of crystalline Rb2OsI6Cl at its relaxed geometry.

Crystal system   tetragonal
Formation energy from raw total energies   -4.9 eV per formula unit
Spin magnetization   2.5 μB per formula unit

Cell lengths 8.6409, 8.6409, 11.4188 Å; angles 90.00, 90.00, 90.00 degrees
With the nearest neighbours (Å) after each atom.
Space group I4/mmm (No. 139)
One atom of each set of equivalent atoms:
Rb1 0.0000 0.5000 0.2500 x4  12 I 4.20-4.32
Os1 0.0000 0.0000 0.0000 x2  6 I 2.70-2.76
I1 0.0000 0.0000 0.2417 x4  1 Os 2.76, 1 Cl 2.95
I2 0.2211 0.2211 0.0000 x8  1 Os 2.70
Cl1 0.0000 0.0000 0.5000 x2  2 I 2.95

=====

Entry 9:
The following is a DFT calculation (PBE) of crystalline YMg2 at its relaxed geometry.

Crystal system   hexagonal
Calculated formation energy   2.10 kJ per mole of atoms
Spin magnetization   0.0 μB per formula unit

Cell lengths 5.9412, 5.9412, 5.2450 Å; angles 90.00, 90.00, 120.00 degrees
With the nearest neighbours (Å) after each atom.
Space group P-62m (No. 189)
One atom of each set of equivalent atoms:
Y1 0.3333 0.6667 0.0000 x2  9 Mg 3.33-3.43, 3 Y 3.43
Mg1 0.0000 0.0000 0.0000 x1  6 Mg 3.21, 6 Y 3.43
Mg2 0.0000 0.6886 0.5000 x3  8 Mg 3.20-3.55, 4 Y 3.33

=====

Entry 10:
The following is a DFT calculation (PBE) of crystalline Ti2HIrAu at its relaxed geometry.

Crystal system   tetragonal
E   -33.56 eV per formula unit
Spin magnetization   0.3 μB per formula unit

Cell lengths 4.0533, 4.0533, 3.9561 Å; angles 90.00, 90.00, 90.00 degrees
With the nearest neighbours (Å) after each atom.
Space group P4/mmm (No. 123)
One atom of each set of equivalent atoms:
Ti1 0.0000 0.5000 0.0000 x2  2 H 2.03
H1 0.0000 0.0000 0.0000 x1  2 Ir 1.98, 4 Ti 2.03
Ir1 0.0000 0.0000 0.5000 x1  2 H 1.98
Au1 0.5000 0.5000 0.5000 x1  8 Ti 2.83, 4 Ir 2.87

=====

Entry 11:
The following is a DFT calculation (PBE) of crystalline PCBr2 at its relaxed geometry.

Crystal system   trigonal
Energy above the lowest structure with this stoichiometry   0.0 meV/atom
Formation energy from raw total energies   6.9 eV per formula unit
Spin magnetization   0.0 μB per formula unit

Cell lengths 3.3988, 3.3988, 24.6233 Å; angles 90.00, 90.00, 120.00 degrees
With the nearest neighbours (Å) after each atom.
Space group R-3m (No. 166, hexagonal axes)
One atom of each set of equivalent atoms:
P1 0.0000 0.0000 0.0000 x3  2 Br 2.56
C1 0.0000 0.0000 0.5000 x3  6 Br 2.50
Br1 0.0000 0.0000 0.1039 x6  3 C 2.50, 1 P 2.56

=====

Entry 12:
The following is a DFT calculation (PBE) of crystalline CsNdAlTe4 at its relaxed geometry.

Crystal system   monoclinic
Formation energy from raw total energies   -6.8 eV per formula unit
Spin magnetization   0.0 μB per formula unit

Cell lengths 7.8043, 6.6347, 10.8841 Å; angles 90.00, 105.79, 90.00 degrees
With the nearest neighbours (Å) after each atom.
Space group P2_1/m (No. 11)
One atom of each set of equivalent atoms:
Cs1 0.2431 0.2500 0.0502 x2  8 Te 3.80-4.17
Nd1 0.2500 0.2500 0.5492 x2  8 Te 3.21-3.55
Al1 0.2624 0.7500 0.3358 x2  4 Te 2.56-2.68
Te1 0.0106 0.5089 0.7037 x4  1 Al 2.68
Te2 0.4195 0.7500 0.5793 x2  1 Al 2.60
Te3 0.4554 0.7500 0.1795 x2  1 Al 2.56